RbVF4: optimized geometry, GGA+U.

```
RbVF4
1.0
-4.029 -3.727 0.188
2.855 -3.252 -3.284
3.356 0.754 6.855
Rb V F
2 2 8
Direct
0.754 0.750 0.000
0.246 0.250 0.000
0.500 0.000 0.500
0.000 0.500 0.500
0.604 0.135 0.791
0.814 0.366 0.209
0.396 0.865 0.209
0.186 0.634 0.791
0.835 0.827 0.536
0.299 0.673 0.464
0.165 0.173 0.464
0.701 0.327 0.536
```

Computed properties:
Crystal system: monoclinic
Energy above the lowest structure with this stoichiometry: 0 meV per atom